# TmGaSi2 | Alexandria | PBE-GGA | optimized geometry
data_TmGaSi2
_chemical_formula_sum 'Tm1 Ga1 Si2'
_cell_length_a 4.321
_cell_length_b 4.321
_cell_length_c 5.324
_cell_angle_alpha 66.06
_cell_angle_beta 66.06
_cell_angle_gamma 60.00
_space_group_name_H-M_alt 'P 1'
_space_group_IT_number 1
_space_group_name_Hall 'P 1'
loop_
_atom_site_label
_atom_site_fract_x
_atom_site_fract_y
_atom_site_fract_z
Ga1 0.000 0.000 0.000
Si1 0.288 0.288 0.135
Tm1 0.500 0.500 0.500
Si2 0.712 0.712 0.865
# Energy above the lowest structure with this stoichiometry   128 meV per atom
# Electronic total energy   -19.0 eV/cell
# Uncorrected formation energy   -0.17 eV/atom
# Space group   R-3m, No. 166
# DOS at the Fermi energy   1.75 states/eV per cell